Material: NdCoAsH2
Method: DFT, GGA-PBE
State: optimized geometry

The calculation puts the energy at -5.215 eV/atom.

The space group is Cmcm (No. 63) and the conventional cell measures 3.891, 10.442 and 6.135 Å, with angles of 90.00, 90.00 and 90.00 degrees. The distinct sites, in fractional coordinates, are Nd at (0.000, 0.214, 0.250), Co at (0.000, 0.500, 0.000), As at (0.000, 0.062, 0.750) and H at (0.000, 0.348, 0.556).

Material: Ca2Cd3Pd2
Method: DFT, GGA-PBE
State: optimized geometry

The calculation puts the energy at -2.993 eV/atom.

The space group is C2/m (No. 12) and the conventional cell measures 10.198, 4.453 and 7.493 Å, with angles of 90.00, 110.73 and 90.00 degrees. The distinct sites, in fractional coordinates, are Ca at (0.142, 0.000, 0.281), Cd at (0.000, 0.500, 0.500), Cd at (0.131, 0.500, 0.944) and Pd at (0.143, 0.000, 0.699).

Material: Sr2ZrClF
Method: DFT, GGA-PBE
State: optimized geometry

The uncorrected formation energy is -0.481 eV per atom.

The space group is P4/mmm (No. 123) and the conventional cell measures 5.612, 5.612 and 5.457 Å, with angles of 90.00, 90.00 and 90.00 degrees. The distinct sites, in fractional coordinates, are Sr at (0.000, 0.500, 0.000), Zr at (0.000, 0.000, 0.500), Cl at (0.500, 0.500, 0.000) and F at (0.500, 0.500, 0.500).

Material: Ce3In5
Method: DFT, GGA-PBE
State: optimized geometry

The value obtained for the excess energy over the best structure of this formula in the dataset is 0.032 eV/atom.

The space group is Cmmm (No. 65) and the conventional cell measures 9.433, 9.590 and 4.734 Å, with angles of 90.00, 90.00 and 90.00 degrees. The distinct sites, in fractional coordinates, are Ce at (0.000, 0.000, 0.000), Ce at (0.244, 0.500, 0.500), In at (0.000, 0.247, 0.500), In at (0.000, 0.500, 0.000) and In at (0.250, 0.250, 0.000).

Material: Cs2ScAs2
Method: DFT, GGA-PBE
State: optimized geometry

The calculation puts the energy at -3.822 eV/atom.

The space group is P4/mbm (No. 127) and the conventional cell measures 7.242, 7.242 and 6.278 Å, with angles of 90.00, 90.00 and 90.00 degrees. The distinct sites, in fractional coordinates, are Cs at (0.176, 0.324, 0.000), Sc at (0.000, 0.000, 0.500) and As at (0.125, 0.625, 0.500).

Material: CaGaSe2O8
Method: DFT, GGA-PBE
State: optimized geometry

The uncorrected formation energy is -1.184 eV per atom.

The space group is P-3 (No. 147) and the conventional cell measures 5.5378, 5.5378 and 6.6675 Å, with angles of 90.00, 90.00 and 120.00 degrees. The distinct sites, in fractional coordinates, are Ca at (0.0000, 0.0000, 0.0000), Ga at (0.0000, 0.0000, 0.5000), Se at (0.3333, 0.6667, 0.7626), O at (0.1530, 0.3106, 0.6999) and O at (0.3333, 0.6667, 0.0109).

Material: FeRuAu
Method: DFT, GGA-PBE
State: optimized geometry

The value obtained for the excess energy over the best structure of this formula in the dataset is 0.108 eV/atom.

The space group is Cm (No. 8) and the conventional cell measures 13.556, 2.760 and 4.794 Å, with angles of 90.00, 97.09 and 90.00 degrees. The distinct sites, in fractional coordinates, are Fe at (0.000, 0.000, 0.000), Fe at (0.160, 0.500, 0.891), Ru at (0.160, 0.000, 0.386), Ru at (0.316, 0.000, 0.756), Au at (0.326, 0.500, 0.250) and Au at (0.497, 0.000, 0.512).

Material: LaMgI3
Method: DFT, GGA-PBE
State: optimized geometry

The uncorrected formation energy is -0.554 eV per atom. The value obtained for the excess energy over the best structure of this formula in the dataset is 0.310 eV/atom.

The space group is Pm-3m (No. 221) and the conventional cell measures 5.672, 5.672 and 5.672 Å, with angles of 90.00, 90.00 and 90.00 degrees. The distinct sites, in fractional coordinates, are La at (0.000, 0.000, 0.000), Mg at (0.500, 0.500, 0.500) and I at (0.000, 0.500, 0.500).

Material: BaFe2Cl
Method: DFT, GGA-PBE
State: optimized geometry

The uncorrected formation energy is 0.209 eV per atom. The value obtained for the excess energy over the best structure of this formula in the dataset is 0.233 eV/atom.

The space group is Imm2 (No. 44) and the conventional cell measures 3.559, 6.020 and 8.875 Å, with angles of 90.00, 90.00 and 90.00 degrees. The distinct sites, in fractional coordinates, are Ba at (0.000, 0.000, 0.000), Fe at (0.000, 0.000, 0.509), Fe at (0.000, 0.500, 0.174) and Cl at (0.000, 0.500, 0.813).

Material: NaSr2AlH
Method: DFT, GGA-PBE
State: optimized geometry

The calculation puts the energy at -2.513 eV/atom.

The space group is P4/mmm (No. 123) and the conventional cell measures 5.474, 5.474 and 4.453 Å, with angles of 90.00, 90.00 and 90.00 degrees. The distinct sites, in fractional coordinates, are Na at (0.000, 0.000, 0.000), Sr at (0.000, 0.500, 0.500), Al at (0.500, 0.500, 0.000) and H at (0.000, 0.000, 0.500).

Material: CaZn4Te
Method: DFT, GGA-PBE
State: optimized geometry

The uncorrected formation energy is -0.124 eV per atom.

The space group is F-43m (No. 216) and the conventional cell measures 7.943, 7.943 and 7.943 Å, with angles of 90.00, 90.00 and 90.00 degrees. The distinct sites, in fractional coordinates, are Ca at (0.000, 0.000, 0.000), Zn at (0.126, 0.126, 0.374) and Te at (0.250, 0.250, 0.750).

Material: Br3Cl
Method: DFT, GGA-PBE
State: optimized geometry

The uncorrected formation energy is 0.329 eV per atom.

The space group is R-3m (No. 166, hexagonal axes) and the conventional cell measures 4.4116, 4.4116 and 26.4460 Å, with angles of 90.00, 90.00 and 120.00 degrees. The distinct sites, in fractional coordinates, are Br at (0.0000, 0.0000, 0.0000), Br at (0.0000, 0.0000, 0.0951) and Cl at (0.0000, 0.0000, 0.5000).